# TlCo3Rh4O12 (PBE+U, optimized geometry)
# - M_tot: 4.667 μB/f.u.
# - Calculated total energy: -6.0690 eV per atom
data_TlCo3Rh4O12
_chemical_formula_sum 'Tl2 Co6 Rh8 O24'
_symmetry_space_group_name_H-M 'I m -3'
_symmetry_Int_Tables_number 204
_symmetry_space_group_name_Hall '-I 2 2 3'
_cell_length_a 7.5317
_cell_length_b 7.5317
_cell_length_c 7.5317
_cell_angle_alpha 90.00
_cell_angle_beta 90.00
_cell_angle_gamma 90.00
loop_
_atom_site_label
_atom_site_type_symbol
_atom_site_fract_x
_atom_site_fract_y
_atom_site_fract_z
Tl1 Tl 0.0000 0.0000 0.0000
Co1 Co 0.0000 0.0000 0.5000
Rh1 Rh 0.2500 0.2500 0.2500
O1 O 0.0000 0.1733 0.3211